# 1
# Pm3SmHo2S6, optimized geometry, DFT GGA-PBE
data_Pm3SmHo2S6
_chemical_formula_sum 'Pm6 Sm2 Ho4 S12'
_cell_length_a 6.867
_cell_length_b 11.933
_cell_length_c 6.918
_cell_angle_alpha 90.00
_cell_angle_beta 109.37
_cell_angle_gamma 90.00
_symmetry_space_group_name_H-M 'C 1 2/m 1'
_symmetry_Int_Tables_number 12
loop_
_symmetry_equiv_pos_as_xyz
'x,y,z'
'-x,-y,-z'
'-x,y,-z'
'x,-y,z'
'x+1/2,y+1/2,z'
'-x+1/2,-y+1/2,-z'
'-x+1/2,y+1/2,-z'
'x+1/2,-y+1/2,z'
loop_
_atom_site_label
_atom_site_fract_x
_atom_site_fract_y
_atom_site_fract_z
Pm1 0.000 0.000 0.000
Pm2 0.000 0.337 0.000
Sm1 0.000 0.500 0.500
Ho1 0.000 0.166 0.500
S1 0.239 0.000 0.738
S2 0.250 0.170 0.259
# mass density	6878	kg/m³
# formation energy without anion corrections	-2.017	eV/atom
# volume	534.8	Å³/cell

***

# 2
# Sr2PmHoS4, optimized geometry, DFT GGA-PBE
data_Sr2PmHoS4
_chemical_formula_sum 'Sr2 Pm1 Ho1 S4'
_cell_length_a 7.047
_cell_length_b 4.068
_cell_length_c 7.205
_cell_angle_alpha 90.00
_cell_angle_beta 109.00
_cell_angle_gamma 90.00
_symmetry_space_group_name_H-M 'P 1 2/m 1'
_symmetry_Int_Tables_number 10
loop_
_symmetry_equiv_pos_as_xyz
'x,y,z'
'-x,-y,-z'
'-x,y,-z'
'x,-y,z'
loop_
_atom_site_label
_atom_site_fract_x
_atom_site_fract_y
_atom_site_fract_z
Sr1 0.000 0.000 0.000
Sr2 0.500 0.500 0.000
Pm1 0.000 0.500 0.500
Ho1 0.500 0.000 0.500
S1 0.252 0.000 0.735
S2 0.263 0.500 0.270
# mass density	5216	kg/m³
# formation energy without anion corrections	-2.038	eV/atom
# volume	195.3	Å³/cell

***

# 3
# SrPmHo2S4, optimized geometry, DFT GGA-PBE
data_SrPmHo2S4
_chemical_formula_sum 'Sr1 Pm1 Ho2 S4'
_cell_length_a 6.942
_cell_length_b 3.975
_cell_length_c 6.964
_cell_angle_alpha 90.00
_cell_angle_beta 109.00
_cell_angle_gamma 90.00
_symmetry_space_group_name_H-M 'P 1 2/m 1'
_symmetry_Int_Tables_number 10
loop_
_symmetry_equiv_pos_as_xyz
'x,y,z'
'-x,-y,-z'
'-x,y,-z'
'x,-y,z'
loop_
_atom_site_label
_atom_site_fract_x
_atom_site_fract_y
_atom_site_fract_z
Sr1 0.000 0.000 0.000
Pm1 0.500 0.500 0.000
Ho1 0.000 0.500 0.500
Ho2 0.500 0.000 0.500
S1 0.247 0.000 0.734
S2 0.260 0.500 0.269
# mass density	6312	kg/m³
# formation energy without anion corrections	-2.005	eV/atom
# volume	181.7	Å³/cell

***

> Which of these has the highest formation energy without anion corrections?

SrPmHo2S4

***

> Which value of formation energy without anion corrections does entry 1 give?

-2.017 eV/atom

***

> What is the formula in the second record?

Sr2PmHoS4

***

> What is the volume in the first record?

534.8 Å³/cell